Version w
This record from Alexandria describes a relaxed Nd2Dy8Al crystal. The functional is PBE.

Values from the calculation:
Density of states at the Fermi level, states/eV/atom: 1.37
V, Å³/cell: 350

```
11
Lattice="5.4320 0.0000 0.0000 0.0000 7.4878 -0.2448 -2.7160 -3.4623 8.7188" Properties=species:S:1:pos:R:3 pbc="T T T"
Dy 2.7160 2.0448 2.2148
Dy 0.0000 5.6603 -0.1842
Dy 0.0000 -1.5688 6.3734
Dy 0.0000 0.1031 3.0969
Dy 2.7160 3.9224 5.3771
Dy 2.7160 -1.6348 8.6582
Dy 2.7160 5.5943 2.1005
Dy 0.0000 1.9807 6.2592
Nd 0.0000 3.8532 3.1924
Nd 2.7160 0.1723 5.2816
Al 2.7160 0.0000 0.0000
```

Version x
This record from Alexandria describes a relaxed Nd2Dy8Al crystal. The functional is PBE.

Values from the calculation:
Density of states at the Fermi level, states/eV/atom: 1.37
V, Å³/cell: 342

```
11
Lattice="-5.1555 -1.8905 0.0983 1.8232 -4.7652 3.9806 0.4730 7.0575 7.1135" Properties=species:S:1:pos:R:3 pbc="T T T"
Al -2.5777 -0.9452 0.0492
Dy -3.0126 0.3824 2.7745
Dy 0.8424 -2.0150 5.4308
Dy 0.1534 0.0194 8.4179
Dy -1.0599 3.2874 7.6327
Dy -3.7016 2.4168 5.7616
Dy -1.7993 -2.8856 3.5597
Dy 0.2890 -0.7045 1.6076
Dy -3.1482 1.1063 9.5848
Nd -0.4141 1.3787 4.7965
Nd -2.4451 -0.9769 6.3959
```

Unit: meV/atom. Relative energies: version w 54; version x 0.